No. 1
The following is a PBE-GGA calculation of NbNClF2 after structural relaxation, from Alexandria.

Results
energy relative to the elements, uncorrected = 930 meV/atom
ρ = 4.2 g cm⁻³
uncorrected energy = -3.867 eV per atom
relative energy among the computed polymorphs = 1007 kJ/mol of formula units

Geometry as CIF:
```
data_NbNClF2
_chemical_formula_sum 'Nb1 N1 Cl1 F2'
_cell_length_a 4.114
_cell_length_b 4.114
_cell_length_c 4.220
_cell_angle_alpha 90.00
_cell_angle_beta 90.00
_cell_angle_gamma 90.00
_symmetry_space_group_name_H-M 'P 4/m m m'
_symmetry_Int_Tables_number 123
_symmetry_space_group_name_Hall '-P 4 2'
loop_
_atom_site_label
_atom_site_fract_x
_atom_site_fract_y
_atom_site_fract_z
Nb1 0.000 0.000 0.000
N1 0.500 0.500 0.000
Cl1 0.500 0.500 0.500
F1 0.000 0.500 0.500
```

---

No. 2
The following is a PBE-GGA calculation of NbN2ClF after structural relaxation, from Alexandria.

Results
energy relative to the elements, uncorrected = 1548 meV/atom
ρ = 4.8 g cm⁻³
uncorrected energy = -4.539 eV per atom
relative energy among the computed polymorphs = 768 kJ/mol of formula units

Geometry as CIF:
```
data_NbN2ClF
_chemical_formula_sum 'Nb1 N2 Cl1 F1'
_cell_length_a 3.970
_cell_length_b 3.970
_cell_length_c 3.817
_cell_angle_alpha 90.00
_cell_angle_beta 90.00
_cell_angle_gamma 90.00
_symmetry_space_group_name_H-M 'P 4/m m m'
_symmetry_Int_Tables_number 123
_symmetry_space_group_name_Hall '-P 4 2'
loop_
_atom_site_label
_atom_site_fract_x
_atom_site_fract_y
_atom_site_fract_z
Nb1 0.000 0.000 0.000
N1 0.000 0.500 0.500
Cl1 0.500 0.500 0.500
F1 0.500 0.500 0.000
```

---

No. 3
The following is a PBE-GGA calculation of NbN2ClF after structural relaxation, from Alexandria.

Results
energy relative to the elements, uncorrected = -44 meV/atom
ρ = 4.1 g cm⁻³
uncorrected energy = -6.132 eV per atom
relative energy among the computed polymorphs = 0 kJ/mol of formula units

Geometry as CIF:
```
data_NbN2ClF
_chemical_formula_sum 'Nb1 N2 Cl1 F1'
_cell_length_a 4.125
_cell_length_b 4.125
_cell_length_c 4.136
_cell_angle_alpha 90.00
_cell_angle_beta 90.00
_cell_angle_gamma 90.00
_symmetry_space_group_name_H-M 'P 4/m m m'
_symmetry_Int_Tables_number 123
_symmetry_space_group_name_Hall '-P 4 2'
loop_
_atom_site_label
_atom_site_fract_x
_atom_site_fract_y
_atom_site_fract_z
Nb1 0.000 0.000 0.000
N1 0.000 0.500 0.000
Cl1 0.500 0.500 0.500
F1 0.000 0.000 0.500
```

---

No. 4
The following is a PBE-GGA calculation of NbNClF after structural relaxation, from Alexandria.

Results
energy relative to the elements, uncorrected = -1420 meV/atom
ρ = 3.8 g cm⁻³
uncorrected energy = -6.949 eV per atom

Geometry as CIF:
```
data_NbNClF
_chemical_formula_sum 'Nb3 N3 Cl3 F3'
_cell_length_a 3.4740
_cell_length_b 3.4740
_cell_length_c 20.3107
_cell_angle_alpha 90.00
_cell_angle_beta 90.00
_cell_angle_gamma 120.00
_symmetry_space_group_name_H-M 'R 3 m'
_symmetry_Int_Tables_number 160
_symmetry_space_group_name_Hall 'R 3 -2"'
loop_
_atom_site_label
_atom_site_fract_x
_atom_site_fract_y
_atom_site_fract_z
Nb1 0.0000 0.0000 0.0000
N1 0.0000 0.0000 0.3401
Cl1 0.0000 0.0000 0.1139
F1 0.0000 0.0000 0.6020
```